## LaNi2H8Pt (PBE-GGA)

Data for a relaxed structure of LaNi2H8Pt.

abc: 4.5871 4.5871 17.1973
angles: 90.00 90.00 120.00
Last column: nearest neighbours and their distance in Å.
Space group R-3 (No. 148, hexagonal axes)
Unique sites:
La (0.0000, 0.0000, 0.0000)  12 H 2.45-2.67
Ni (0.0000, 0.0000, 0.2219)  4 H 1.55-1.62
H (0.0000, 0.0000, 0.3121)  1 Ni 1.55
H (0.0045, 0.6494, 0.2206)  1 Ni 1.62, 1 Pt 1.74
Pt (0.0000, 0.0000, 0.5000)  6 H 1.74

**Total DFT energy (no corrections)**: -4.35 eV/atom
**ρ**: 7.30 g cm⁻³
**V**: 8.705 Å³/atom
**Total magnetization**: 0.0 μB per formula unit